ZnAuNO | GGA-PBE | optimized geometry

abc: 5.790 2.928 5.785
angles: 90.00 90.00 90.00
Positions (direct):
Zn1 0.000 0.000 0.000
Zn2 0.500 0.000 0.000
Au1 0.250 0.500 0.495
Au2 0.750 0.500 0.505
N1 0.250 0.000 0.244
N2 0.750 0.000 0.756
O1 0.250 0.500 0.853
O2 0.750 0.500 0.147

Output
Energy above the most stable polymorph in this dataset   10.3 meV/atom
Calculated total energy   -4.229 eV per atom

ZnAuNO | GGA-PBE | optimized geometry

abc: 4.078 4.078 6.343
angles: 90.00 90.00 90.00
Positions (direct):
Zn1 0.250 0.250 0.069
Zn2 0.750 0.750 0.931
Au1 0.250 0.750 0.500
Au2 0.750 0.250 0.500
N1 0.250 0.250 0.415
N2 0.750 0.750 0.585
O1 0.250 0.750 0.000
O2 0.750 0.250 0.000

Output
Energy above the most stable polymorph in this dataset   50.0 meV/atom
Calculated total energy   -4.189 eV per atom

Rb4PAu2N | GGA-PBE | optimized geometry

abc: 6.945 6.085 6.085
angles: 112.31 90.00 90.00
Positions (direct):
Rb1 0.000 0.172 0.828
Rb2 0.000 0.828 0.172
Rb3 0.500 0.076 0.420
Rb4 0.500 0.420 0.076
P1 0.000 0.446 0.446
Au1 0.276 0.666 0.666
Au2 0.724 0.666 0.666
N1 0.500 0.873 0.873

Output
Calculated total energy   -3.144 eV per atom

Sc4PAuN2 | GGA-PBE | optimized geometry

abc: 3.280 3.280 13.089
angles: 90.00 90.00 120.00
Positions (direct):
Sc1 0.000 0.000 0.141
Sc2 0.000 0.000 0.859
Sc3 0.667 0.333 0.331
Sc4 0.667 0.333 0.669
P1 0.667 0.333 0.000
Au1 0.000 0.000 0.500
N1 0.333 0.667 0.234
N2 0.333 0.667 0.766

Output
Total magnetization   0.11 Bohr magnetons per cell
Calculated total energy   -7.676 eV per atom

Ta4PAuN2 | GGA-PBE | optimized geometry

abc: 3.241 3.241 12.403
angles: 90.00 90.00 120.00
Positions (direct):
Ta1 0.000 0.000 0.139
Ta2 0.000 0.000 0.861
Ta3 0.333 0.667 0.322
Ta4 0.333 0.667 0.678
P1 0.333 0.667 0.000
Au1 0.000 0.000 0.500
N1 0.667 0.333 0.240
N2 0.667 0.333 0.760

Output
Total magnetization   0.00 Bohr magnetons per cell
Calculated total energy   -9.750 eV per atom

Y4PAuN2 | GGA-PBE | optimized geometry

abc: 3.641 3.641 13.399
angles: 90.00 90.00 120.00
Positions (direct):
Y1 0.000 0.000 0.135
Y2 0.000 0.000 0.865
Y3 0.667 0.333 0.338
Y4 0.667 0.333 0.662
P1 0.667 0.333 0.000
Au1 0.000 0.000 0.500
N1 0.333 0.667 0.240
N2 0.333 0.667 0.760

Output
Total magnetization   1.04 Bohr magnetons per cell
Calculated total energy   -7.657 eV per atom

Y4PAuN2 | GGA-PBE | optimized geometry

abc: 3.641 3.641 13.399
angles: 90.00 90.00 120.00
Positions (direct):
Y1 0.000 0.000 0.135
Y2 0.000 0.000 0.865
Y3 0.333 0.667 0.338
Y4 0.333 0.667 0.662
P1 0.333 0.667 0.000
Au1 0.000 0.000 0.500
N1 0.667 0.333 0.240
N2 0.667 0.333 0.760

Output
Total magnetization   1.04 Bohr magnetons per cell
Calculated total energy   -7.657 eV per atom

Sc4PbAuN2 | GGA-PBE | optimized geometry

abc: 3.295 3.295 14.239
angles: 90.00 90.00 120.00
Positions (direct):
Sc1 0.000 0.000 0.155
Sc2 0.000 0.000 0.845
Sc3 0.333 0.667 0.324
Sc4 0.333 0.667 0.676
Pb1 0.000 0.000 0.500
Au1 0.333 0.667 0.000
N1 0.667 0.333 0.246
N2 0.667 0.333 0.754

Output
Total magnetization   0.00 Bohr magnetons per cell
Calculated total energy   -7.315 eV per atom